1.
DFT (GGA-PBE) results for an optimized crystal structure of HfH3Se.

For the total energy, the calculation gives -3.8715 eV/atom.

Cell: 3.7281 3.7281 3.7281 Å, 90.00 90.00 90.00°
Last column: nearest neighbours and their distance in Å.
Space group Pm-3m (No. 221)
Symmetry-distinct sites (fractional):
Hf 0.0000 0.0000 0.0000 (multiplicity 1)  12 H 2.64
H 0.0000 0.5000 0.5000 (multiplicity 3)  2 Se 1.86
Se 0.5000 0.5000 0.5000 (multiplicity 1)  6 H 1.86



2.
DFT (GGA-PBE) results for an optimized crystal structure of Hf2HSe2.

For the total energy, the calculation gives -6.9393 eV/atom.

Cell: 3.3783 3.3783 34.9827 Å, 90.00 90.00 90.00°
Last column: nearest neighbours and their distance in Å.
Space group I4_1/amd (No. 141, origin choice 2)
Symmetry-distinct sites (fractional):
Hf 0.0000 0.2500 0.0886 (multiplicity 8)  2 H 2.11
H 0.0000 0.2500 0.8750 (multiplicity 4)  4 Hf 2.11
Se 0.0000 0.2500 0.1980 (multiplicity 8)  4 Hf 2.71



3.
DFT (GGA-PBE) results for an optimized crystal structure of Hf4HSe5.

For the total energy, the calculation gives -7.0057 eV/atom.

Cell: 16.0909 3.6035 7.3305 Å, 90.00 102.28 90.00°
Last column: nearest neighbours and their distance in Å.
Space group C2/m (No. 12)
Symmetry-distinct sites (fractional):
Hf 0.9998 0.0000 0.2232 (multiplicity 4)  2 H 2.43, 4 Se 2.62-2.71
Hf 0.1611 0.5000 0.0788 (multiplicity 4)  1 H 2.53, 5 Se 2.63-2.70
H 0.0000 0.5000 0.0000 (multiplicity 2)  6 Hf 2.43-2.53
Se 0.0000 0.5000 0.5000 (multiplicity 2)  4 Hf 2.71
Se 0.1654 0.0000 0.3426 (multiplicity 4)  3 Hf 2.62-2.63
Se 0.1704 0.0000 0.8097 (multiplicity 4)  4 Hf 2.66-2.70



4.
DFT (GGA-PBE) results for an optimized crystal structure of Hf2HSe3.

For the total energy, the calculation gives -6.6330 eV/atom.

Cell: 14.8513 3.7403 9.7954 Å, 90.00 115.78 90.00°
Last column: nearest neighbours and their distance in Å.
Space group C2/m (No. 12)
Symmetry-distinct sites (fractional):
Hf 0.0894 0.0000 0.4484 (multiplicity 4)  2 H 2.04-2.06
Hf 0.1380 0.5000 0.8068 (multiplicity 4)  2 H 2.43, 4 Se 2.61-2.64
H 0.0629 0.0000 0.6376 (multiplicity 4)  2 Hf 2.04-2.06
Se 0.0499 0.5000 0.2362 (multiplicity 4)  3 Hf 2.63-2.67
Se 0.1543 0.0000 0.0021 (multiplicity 4)  3 Hf 2.61-2.83
Se 0.2234 0.5000 0.6208 (multiplicity 4)  3 Hf 2.64-2.72



Number 1: D(E_F) 0.701 states/eV per atom. Number 2: D(E_F) 0.539 states/eV per atom. Number 3: D(E_F) 0.601 states/eV per atom. Number 4: D(E_F) 0.066 states/eV per atom.